Entry 1:
The following is a PBE-GGA calculation of a relaxed Li2CdSiS4 crystal, from OQMD.

Unit cell a=7.647 b=6.808 c=6.350 alpha=90.00 beta=90.00 gamma=90.00
Atoms (fractional coordinates):
Li: 0.745 0.330 0.870
Li: 0.755 0.670 0.370
Li: 0.255 0.330 0.870
Li: 0.245 0.670 0.370
S: 0.777 0.331 0.250
S: 0.500 0.124 0.773
S: 0.723 0.669 0.750
S: 0.000 0.197 0.706
S: 0.223 0.331 0.250
S: 0.000 0.876 0.273
S: 0.500 0.803 0.206
S: 0.277 0.669 0.750
Cd: 0.000 0.856 0.869
Cd: 0.500 0.144 0.369
Si: 0.500 0.823 0.869
Si: 0.000 0.177 0.369

Entry 2:
The following is a PBE-GGA calculation of a relaxed LiSmCdS3 crystal, from OQMD.

Results
Distance to the lowest polymorph of the same formula   3.89 kJ per mole of atoms

Unit cell a=7.418 b=4.007 c=10.768 alpha=90.00 beta=103.94 gamma=90.00
Atoms (fractional coordinates):
Li: 0.666 0.250 0.103
Li: 0.334 0.750 0.897
S: 0.442 0.750 0.142
S: 0.094 0.250 0.880
S: 0.906 0.750 0.120
S: 0.261 0.250 0.420
S: 0.558 0.250 0.858
S: 0.739 0.750 0.580
Cd: 0.463 0.750 0.381
Cd: 0.537 0.250 0.619
Sm: 0.830 0.750 0.852
Sm: 0.170 0.250 0.148

Entry 3:
The following is a PBE-GGA calculation of a relaxed LiSmCdS3 crystal, from OQMD.

Results
Distance to the lowest polymorph of the same formula   0.00 kJ per mole of atoms

Unit cell a=11.113 b=3.963 c=11.532 alpha=90.00 beta=90.00 gamma=90.00
Atoms (fractional coordinates):
S: 0.627 0.750 0.746
S: 0.876 0.250 0.922
S: 0.124 0.750 0.078
S: 0.878 0.250 0.580
S: 0.122 0.750 0.420
S: 0.622 0.750 0.080
S: 0.624 0.750 0.422
S: 0.373 0.250 0.254
S: 0.873 0.250 0.246
S: 0.127 0.750 0.754
S: 0.378 0.250 0.920
S: 0.376 0.250 0.578
Li: 0.624 0.250 0.575
Li: 0.376 0.750 0.425
Li: 0.876 0.750 0.075
Li: 0.124 0.250 0.925
Sm: 0.623 0.250 0.254
Sm: 0.877 0.750 0.754
Sm: 0.123 0.250 0.246
Sm: 0.377 0.750 0.746
Cd: 0.369 0.750 0.090
Cd: 0.631 0.250 0.910
Cd: 0.131 0.250 0.590
Cd: 0.869 0.750 0.410

Entry 4:
The following is a PBE-GGA calculation of a relaxed LiSmCdS3 crystal, from OQMD.

Results
Distance to the lowest polymorph of the same formula   13.39 kJ per mole of atoms

Unit cell a=6.576 b=6.576 c=11.008 alpha=90.00 beta=90.00 gamma=144.55
Atoms (fractional coordinates):
Cd: 0.527 0.473 0.250
Cd: 0.473 0.527 0.750
Li: 0.750 0.250 0.750
Li: 0.250 0.750 0.250
S: 0.643 0.357 0.432
S: 0.357 0.643 0.932
S: 0.643 0.357 0.068
S: 0.900 0.100 0.250
S: 0.357 0.643 0.568
S: 0.100 0.900 0.750
Sm: 0.000 0.000 0.500
Sm: 0.000 0.000 0.000

Entry 5:
The following is a PBE-GGA calculation of a relaxed Li4CdSn2S7 crystal, from OQMD.

Unit cell a=9.451 b=9.451 c=10.387 alpha=93.61 beta=93.61 gamma=43.08
Atoms (fractional coordinates):
S: 0.468 0.136 0.439
S: 0.324 0.003 0.729
S: 0.003 0.324 0.229
S: 0.890 0.566 0.584
S: 0.750 0.428 0.863
S: 0.819 0.204 0.507
S: 0.204 0.819 0.007
S: 0.566 0.890 0.084
S: 0.038 0.707 0.302
S: 0.283 0.598 0.656
S: 0.707 0.038 0.802
S: 0.598 0.283 0.156
S: 0.428 0.750 0.363
S: 0.136 0.468 0.939
Li: 0.795 0.453 0.419
Li: 0.304 0.649 0.210
Li: 0.515 0.152 0.995
Li: 0.928 0.607 0.140
Li: 0.649 0.304 0.710
Li: 0.453 0.795 0.919
Li: 0.152 0.515 0.495
Li: 0.607 0.928 0.640
Sn: 0.749 0.068 0.342
Sn: 0.019 0.367 0.771
Sn: 0.068 0.749 0.842
Sn: 0.367 0.019 0.271
Cd: 0.205 0.895 0.561
Cd: 0.895 0.205 0.061

Entry 6:
The following is a PBE-GGA calculation of a relaxed LiTmCdS3 crystal, from OQMD.

Results
Distance to the lowest polymorph of the same formula   0.00 kJ per mole of atoms

Unit cell a=12.317 b=3.913 c=11.402 alpha=90.00 beta=90.00 gamma=90.00
Atoms (fractional coordinates):
S: 0.863 0.750 0.223
S: 0.622 0.750 0.448
S: 0.891 0.750 0.618
S: 0.378 0.250 0.552
S: 0.878 0.250 0.948
S: 0.122 0.750 0.052
S: 0.609 0.250 0.118
S: 0.109 0.250 0.382
S: 0.637 0.250 0.723
S: 0.363 0.750 0.277
S: 0.391 0.750 0.882
S: 0.137 0.250 0.777
Li: 0.767 0.750 0.040
Li: 0.733 0.250 0.540
Li: 0.233 0.250 0.960
Li: 0.267 0.750 0.460
Tm: 0.996 0.250 0.147
Tm: 0.504 0.750 0.647
Tm: 0.496 0.250 0.353
Tm: 0.004 0.750 0.853
Cd: 0.031 0.250 0.597
Cd: 0.969 0.750 0.403
Cd: 0.531 0.250 0.903
Cd: 0.469 0.750 0.097

Entry 7:
The following is a PBE-GGA calculation of a relaxed LiTmCdS3 crystal, from OQMD.

Results
Distance to the lowest polymorph of the same formula   6.50 kJ per mole of atoms

Unit cell a=3.903 b=6.561 c=10.741 alpha=90.00 beta=90.00 gamma=72.70
Atoms (fractional coordinates):
Li: 0.743 0.514 0.750
Li: 0.257 0.486 0.250
S: 0.099 0.802 0.750
S: 0.640 0.720 0.441
S: 0.640 0.720 0.059
S: 0.360 0.280 0.941
S: 0.360 0.280 0.559
S: 0.901 0.198 0.250
Tm: 0.000 0.000 0.000
Tm: 0.000 0.000 0.500
Cd: 0.468 0.064 0.750
Cd: 0.532 0.936 0.250

Entry 8:
The following is a PBE-GGA calculation of a relaxed LiCdSb crystal, from OQMD.

Unit cell a=7.516 b=7.516 c=4.359 alpha=90.00 beta=90.00 gamma=120.00
Atoms (fractional coordinates):
Li: 0.000 0.585 0.500
Li: 0.585 0.000 0.500
Li: 0.415 0.415 0.500
Sb: 0.333 0.667 0.000
Sb: 0.667 0.333 0.000
Sb: 0.000 0.000 0.500
Cd: 0.736 0.736 0.000
Cd: 0.264 0.000 0.000
Cd: 0.000 0.264 0.000

Calculated E_tot, -4.315, -4.641, -4.681, -4.542, -4.128, -4.573, -4.506, -2.600 eV/atom (same order as the records).
Calculated density, 2.8, 3.9, 4.8, 4.4, 3.2, 4.6, 4.9, 5.6 g cm⁻³ (same order as the records).